Material: CaTaAsBr2
Method: DFT, GGA-PBE
State: optimized geometry

```
CaTaAsBr2
1.0
5.2192 0.0000 0.0000
0.0000 5.2192 0.0000
0.0000 0.0000 6.0317
Ca Ta As Br
1 1 1 2
Direct
0.0000 0.0000 0.0000 Ca
0.5000 0.5000 0.5000 Ta
0.0000 0.0000 0.5000 As
0.0000 0.5000 0.0000 Br
0.5000 0.0000 0.0000 Br
```

Calculated values
formation energy from raw total energies = 564 meV per atom
magnetization = 2.0 Bohr magnetons per cell
excess energy over the best structure of this formula in the dataset = 906 meV/atom

---

Material: Sr2YCu9
Method: DFT, GGA-PBE
State: optimized geometry

```
Sr2YCu9
1.0
2.6154 1.5100 8.7132
-2.6154 1.5100 8.7132
0.0000 -3.0200 8.7132
Sr Y Cu
2 1 9
Direct
0.1399 0.1399 0.1399 Sr
0.8601 0.8601 0.8601 Sr
0.0000 0.0000 0.0000 Y
0.0828 0.5741 0.5741 Cu
0.3316 0.3316 0.3316 Cu
0.4259 0.4259 0.9172 Cu
0.4259 0.9172 0.4259 Cu
0.5000 0.5000 0.5000 Cu
0.5741 0.0828 0.5741 Cu
0.5741 0.5741 0.0828 Cu
0.6684 0.6684 0.6684 Cu
0.9172 0.4259 0.4259 Cu
```

Calculated values
DFT formation energy = -60 meV per atom
magnetization = 0.0 Bohr magnetons per cell

---

Number 1: total DFT energy (no corrections) -3.806 eV per atom. Number 2: total DFT energy (no corrections) -3.951 eV per atom.